ZnAgN2F | PBE | relaxed

Properties
Density = 5.58 g/cm³
E above lowest polymorph = 0 meV per atom
E = -3.63 eV per atom

Cell and atoms, written as extended XYZ:
```
5
Lattice="3.9490 0.0000 0.0000 0.0000 3.9490 0.0000 0.0000 0.0000 4.2011" Properties=species:S:1:pos:R:3 pbc="T T T"
Ag 1.9745 1.9745 2.1005
N 0.0000 1.9745 0.0000
Zn 0.0000 0.0000 0.0000
F 0.0000 0.0000 2.1005
N 1.9745 0.0000 0.0000
```

---

ZrAgNF2 | PBE | relaxed

Properties
Density = 5.65 g/cm³
E above lowest polymorph = 1447 meV per atom
E = -4.84 eV per atom

Cell and atoms, written as extended XYZ:
```
5
Lattice="4.1848 0.0000 0.0000 0.0000 4.1848 0.0000 0.0000 0.0000 4.2143" Properties=species:S:1:pos:R:3 pbc="T T T"
F 2.0924 0.0000 0.0000
Ag 0.0000 0.0000 0.0000
N 0.0000 0.0000 2.1071
F 0.0000 2.0924 0.0000
Zr 2.0924 2.0924 2.1071
```

---

ZrAgN2F | PBE | relaxed

Properties
Density = 5.34 g/cm³
E above lowest polymorph = 0 meV per atom
E = -6.35 eV per atom

Cell and atoms, written as extended XYZ:
```
5
Lattice="4.2617 0.0000 0.0000 0.0000 4.2617 0.0000 0.0000 0.0000 4.2105" Properties=species:S:1:pos:R:3 pbc="T T T"
N 2.1309 0.0000 0.0000
N 0.0000 2.1309 0.0000
Ag 2.1309 2.1309 2.1053
F 0.0000 0.0000 2.1053
Zr 0.0000 0.0000 0.0000
```

---

ZrAgN2F | PBE | relaxed

Properties
Density = 6.20 g/cm³
E above lowest polymorph = 917 meV per atom
E = -5.44 eV per atom

Cell and atoms, written as extended XYZ:
```
5
Lattice="4.0698 0.0000 0.0000 0.0000 4.0698 0.0000 0.0000 0.0000 3.9770" Properties=species:S:1:pos:R:3 pbc="T T T"
Zr 2.0349 2.0349 1.9885
N 2.0349 0.0000 0.0000
N 0.0000 2.0349 0.0000
Ag 0.0000 0.0000 0.0000
F 0.0000 0.0000 1.9885
```

---

ZrAgNF2 | PBE | relaxed

Properties
Density = 5.46 g/cm³
E above lowest polymorph = 0 meV per atom
E = -6.29 eV per atom

Cell and atoms, written as extended XYZ:
```
5
Lattice="-2.2565 2.2788 2.7694 -3.4953 -2.1300 -1.0953 0.8062 -2.8790 3.0258" Properties=species:S:1:pos:R:3 pbc="T T T"
N 0.4031 -1.4395 1.5129
F -1.7477 -1.0650 -0.5477
Zr 0.0000 0.0000 0.0000
Ag -2.4728 -1.3651 2.3499
F -1.1282 1.1394 1.3847
```

---

NaAgF3 | PBE | relaxed

Properties
Density = 3.78 g/cm³
E above lowest polymorph = 96 meV per atom
E = -3.65 eV per atom

Cell and atoms, written as extended XYZ:
```
5
Lattice="4.3521 0.0000 0.0000 0.0000 4.3521 0.0000 0.0000 0.0000 4.3521" Properties=species:S:1:pos:R:3 pbc="T T T"
F 0.0000 0.0000 2.1761
Ag 0.0000 0.0000 0.0000
Na 2.1761 2.1761 2.1761
F 0.0000 2.1761 0.0000
F 2.1761 0.0000 0.0000
```

---

The lowest E belongs to which entry?
number 3

---

density of number 6 (NaAgF3)?
3.78 g/cm³